Record 1
The following is a DFT calculation (PBE) of a relaxed structure of Pm8CuPd2.

Calculated values
Formation energy from the elements (meV per atom): -182
Electronic total energy (Ry per atom): -0.3641

a = 6.152 Å, b = 7.903 Å, c = 7.903 Å
α = 114.77°, β = 100.53°, γ = 100.53°
Element x y z (fractional)
Pm 0.361 0.657 0.914
Cu 0.178 0.008 0.008
Pm 0.984 0.787 0.208
Pm 0.170 0.367 0.367
Pd 0.489 0.699 0.313
Pm 0.590 0.091 0.348
Pm 0.984 0.208 0.787
Pm 0.361 0.914 0.657
Pm 0.590 0.348 0.091
Pm 0.802 0.641 0.641
Pd 0.489 0.313 0.699

Record 2
The following is a DFT calculation (PBE) of a relaxed structure of YAg5.

Calculated values
Formation energy from the elements (meV per atom): -39
Electronic total energy (Ry per atom): -0.2567

a = 7.904 Å, b = 7.904 Å, c = 4.851 Å
α = 90.00°, β = 90.00°, γ = 156.65°
Element x y z (fractional)
Ag 0.785 0.215 0.500
Ag 0.441 0.559 0.500
Ag 0.330 0.670 0.000
Y 0.112 0.888 0.500
Ag 0.675 0.325 0.000
Ag 0.990 0.010 0.000

Record 3
The following is a DFT calculation (PBE) of a relaxed structure of H2PtPb.

Calculated values
Electronic total energy (Ry per atom): -0.2476

a = 4.206 Å, b = 4.206 Å, c = 4.206 Å
α = 60.00°, β = 60.00°, γ = 60.00°
Element x y z (fractional)
Pb 0.500 0.500 0.500
Pt 0.000 0.000 0.000
H 0.750 0.750 0.750
H 0.250 0.250 0.250

Record 4
The following is a DFT calculation (PBE) of a relaxed structure of Ba2CaI6.

Calculated values
Energy relative to the elements, uncorrected (meV per atom): -1680
Electronic total energy (Ry per atom): -0.2472

a = 8.298 Å, b = 8.298 Å, c = 24.635 Å
α = 90.00°, β = 90.00°, γ = 90.00°
Element x y z (fractional)
I 0.299 0.202 0.417
Ba 0.000 0.000 0.666
I 0.702 0.799 0.583
I 0.298 0.201 0.583
I 0.200 0.199 0.919
I 0.259 0.750 0.249
I 0.300 0.699 0.919
I 0.798 0.299 0.583
I 0.201 0.702 0.417
I 0.301 0.300 0.081
Ca 0.500 0.000 0.500
I 0.801 0.200 0.081
Ba 0.500 0.000 0.164
I 0.800 0.801 0.919
I 0.750 0.241 0.751
Ca 0.000 0.500 0.500
Ba 0.000 0.000 0.334
I 0.741 0.250 0.249
I 0.250 0.759 0.751
I 0.199 0.800 0.081
Ba 0.000 0.500 0.164
Ba 0.000 0.500 0.836
I 0.750 0.741 0.751
Ba 0.500 0.500 0.666
I 0.759 0.750 0.249
I 0.699 0.700 0.081
Ba 0.500 0.500 0.334
Ca 0.500 0.500 0.000
I 0.202 0.701 0.583
Ba 0.500 0.000 0.836
I 0.700 0.301 0.919
I 0.799 0.298 0.417
Ca 0.000 0.000 0.000
I 0.241 0.250 0.249
I 0.701 0.798 0.417
I 0.250 0.259 0.751

Record 5
The following is a DFT calculation (PBE) of a relaxed structure of GaBrCl.

Calculated values
Energy relative to the elements, uncorrected (meV per atom): -870
Electronic total energy (Ry per atom): -0.2243

a = 3.822 Å, b = 8.728 Å, c = 6.708 Å
α = 78.16°, β = 90.10°, γ = 77.57°
Element x y z (fractional)
Br 0.112 0.322 0.705
Ga 0.795 0.950 0.540
Cl 0.568 0.410 0.211
Br 0.333 0.870 0.336
Ga 0.651 0.242 0.500
Cl 0.878 0.782 0.830